1.
Entry from Alexandria via LeMat-Bulk: an optimized crystal structure of RbTe2OsC (PBE).

Output
Total DFT energy (no corrections): -18.370 eV/cell
Density of states at the Fermi level: 4.4 states/eV/cell
Uncorrected formation energy: 1.867 eV per atom
Total magnetization: 0.0 μB/f.u.
Space-group type: No. 123

Unit cell a=4.800 b=4.680 c=4.800 alpha=90.00 beta=90.00 gamma=90.00
Element x y z (fractional)
Os1 0.500 0.500 0.500
Rb1 0.000 0.500 0.000
C1 0.000 0.000 0.000
Te1 0.000 0.000 0.500
Te2 0.500 0.000 0.000

---

2.
Entry from Alexandria via LeMat-Bulk: an optimized crystal structure of RbTiOsC2 (PBE).

Output
Energy of formation: 2800 meV per atom
Total DFT energy (no corrections): -24.542 eV/cell
Density of states at the Fermi level: 4.8 states/eV/cell
Total magnetization: 3.6 μB/f.u.
Space-group type: No. 123

Unit cell a=4.179 b=5.580 c=4.179 alpha=90.00 beta=90.00 gamma=90.00
Site moments in Bohr magnetons follow the coordinates.
Element x y z (fractional)
C1 0.500 0.000 0.000  0.05
C2 0.000 0.000 0.500  0.04
Ti1 0.000 0.000 0.000  0.20
Rb1 0.000 0.500 0.000  0.04
Os1 0.500 0.500 0.500  2.77

---

3.
Entry from Alexandria via LeMat-Bulk: an optimized crystal structure of RbV2OsC (PBE).

Output
Energy of formation: 2374 meV per atom
Total DFT energy (no corrections): -27.787 eV/cell
Density of states at the Fermi level: 7.8 states/eV/cell
Total magnetization: 5.9 μB/f.u.
Space-group type: No. 123

Unit cell a=4.621 b=6.927 c=4.621 alpha=90.00 beta=90.00 gamma=90.00
Site moments in Bohr magnetons follow the coordinates.
Element x y z (fractional)
V1 0.500 0.000 0.000  2.10
V2 0.000 0.000 0.500  1.21
C1 0.500 0.500 0.500  1.07
Rb1 0.000 0.500 0.000  0.04
Os1 0.000 0.000 0.000  -0.47

---

4.
Entry from Alexandria via LeMat-Bulk: an optimized crystal structure of ReOsC3 (PBE).

Output
Energy of formation: 2531 meV per atom
Total DFT energy (no corrections): -38.693 eV/cell
Density of states at the Fermi level: 4.5 states/eV/cell
Excess energy over the best structure of this formula in the dataset: 0.0 meV/atom
Total magnetization: 0.0 μB/f.u.
Space-group type: No. 221

Unit cell a=3.964 b=3.964 c=3.964 alpha=90.00 beta=90.00 gamma=90.00
Element x y z (fractional)
C1 0.500 0.000 0.000
C2 0.000 0.500 0.000
C3 0.000 0.000 0.500
Re1 0.000 0.000 0.000
Os1 0.500 0.500 0.500

---

5.
Entry from Alexandria via LeMat-Bulk: an optimized crystal structure of ReOs3C (PBE).

Output
Energy of formation: 650 meV per atom
Total DFT energy (no corrections): -52.113 eV/cell
Density of states at the Fermi level: 6.1 states/eV/cell
Excess energy over the best structure of this formula in the dataset: 0.0 meV/atom
Total magnetization: 0.0 μB/f.u.
Space-group type: No. 221

Unit cell a=4.046 b=4.046 c=4.046 alpha=90.00 beta=90.00 gamma=90.00
Element x y z (fractional)
Os1 0.000 0.500 0.000
Os2 0.000 0.000 0.500
Os3 0.500 0.000 0.000
Re1 0.500 0.500 0.500
C1 0.000 0.000 0.000

---

6.
Entry from Alexandria via LeMat-Bulk: an optimized crystal structure of ReOsC2 (PBE).

Output
Energy of formation: 748 meV per atom
Total DFT energy (no corrections): -78.270 eV/cell
Density of states at the Fermi level: 7.4 states/eV/cell
Excess energy over the best structure of this formula in the dataset: 0.0 meV/atom
Total magnetization: 0.0 μB/f.u.
Space-group type: No. 122

Unit cell a=4.644 b=4.644 c=5.662 alpha=65.79 beta=65.79 gamma=90.00
Element x y z (fractional)
Re1 0.500 0.500 0.000
Re2 0.250 0.750 0.500
C1 0.375 0.372 0.750
C2 0.122 0.625 0.250
C3 0.628 0.125 0.250
C4 0.875 0.878 0.750
Os1 0.750 0.250 0.500
Os2 0.000 0.000 0.000

---

7.
Entry from Alexandria via LeMat-Bulk: an optimized crystal structure of ReOsC2 (PBE).

Output
Energy of formation: 1297 meV per atom
Total DFT energy (no corrections): -36.937 eV/cell
Density of states at the Fermi level: 1.8 states/eV/cell
Excess energy over the best structure of this formula in the dataset: 549.4 meV/atom
Total magnetization: 0.0 μB/f.u.
Space-group type: No. 225

Unit cell a=3.815 b=3.815 c=3.815 alpha=60.00 beta=60.00 gamma=60.00
Element x y z (fractional)
C1 0.750 0.750 0.750
C2 0.250 0.250 0.250
Re1 0.000 0.000 0.000
Os1 0.500 0.500 0.500

---

8.
Entry from Alexandria via LeMat-Bulk: an optimized crystal structure of ReOsC3 (PBE).

Output
Energy of formation: 2609 meV per atom
Total DFT energy (no corrections): -38.302 eV/cell
Density of states at the Fermi level: 6.7 states/eV/cell
Excess energy over the best structure of this formula in the dataset: 78.2 meV/atom
Total magnetization: 0.0 μB/f.u.
Space-group type: No. 221

Unit cell a=3.922 b=3.922 c=3.922 alpha=90.00 beta=90.00 gamma=90.00
Element x y z (fractional)
C1 0.000 0.000 0.500
C2 0.000 0.500 0.000
C3 0.500 0.000 0.000
Os1 0.000 0.000 0.000
Re1 0.500 0.500 0.500

---

9.
Entry from Alexandria via LeMat-Bulk: an optimized crystal structure of ReOs3C (PBE).

Output
Energy of formation: 3613 meV per atom
Total DFT energy (no corrections): -37.298 eV/cell
Density of states at the Fermi level: 10.5 states/eV/cell
Excess energy over the best structure of this formula in the dataset: 2963.0 meV/atom
Total magnetization: 0.0 μB/f.u.
Space-group type: No. 221

Unit cell a=4.698 b=4.698 c=4.698 alpha=90.00 beta=90.00 gamma=90.00
Element x y z (fractional)
Re1 0.000 0.000 0.000
Os1 0.000 0.500 0.000
Os2 0.500 0.000 0.000
Os3 0.000 0.000 0.500
C1 0.500 0.500 0.500

---

10.
Entry from Alexandria via LeMat-Bulk: an optimized crystal structure of Re2OsRuC (PBE).

Output
Energy of formation: 3545 meV per atom
Total DFT energy (no corrections): -36.903 eV/cell
Density of states at the Fermi level: 5.8 states/eV/cell
Total magnetization: 1.5 μB/f.u.
Space-group type: No. 123

Unit cell a=4.655 b=4.645 c=4.655 alpha=90.00 beta=90.00 gamma=90.00
Site moments in Bohr magnetons follow the coordinates.
Element x y z (fractional)
Os1 0.000 0.500 0.000  0.23
Re1 0.000 0.000 0.500  0.81
Re2 0.500 0.000 0.000  0.83
C1 0.500 0.500 0.500  -0.28
Ru1 0.000 0.000 0.000  -0.08

---

11.
Entry from Alexandria via LeMat-Bulk: an optimized crystal structure of OsRh3C (PBE).

Output
Energy of formation: 2635 meV per atom
Total DFT energy (no corrections): -29.333 eV/cell
Density of states at the Fermi level: 5.7 states/eV/cell
Excess energy over the best structure of this formula in the dataset: 2017.4 meV/atom
Total magnetization: 0.9 μB/f.u.
Space-group type: No. 221

Unit cell a=4.694 b=4.694 c=4.694 alpha=90.00 beta=90.00 gamma=90.00
Site moments in Bohr magnetons follow the coordinates.
Element x y z (fractional)
Rh1 0.000 0.000 0.500  -0.04
Rh2 0.000 0.500 0.000  0.02
Rh3 0.500 0.000 0.000  0.05
C1 0.500 0.500 0.500  0.43
Os1 0.000 0.000 0.000  0.01

---

12.
Entry from Alexandria via LeMat-Bulk: an optimized crystal structure of OsRh2C (PBE).

Output
Energy of formation: 679 meV per atom
Total DFT energy (no corrections): -64.883 eV/cell
Density of states at the Fermi level: 1.7 states/eV/cell
Total magnetization: 0.0 μB/f.u.
Space-group type: No. 122

Unit cell a=6.501 b=6.501 c=5.201 alpha=51.32 beta=51.32 gamma=90.00
Element x y z (fractional)
C1 0.500 0.500 0.000
C2 0.250 0.750 0.500
Rh1 0.530 0.125 0.250
Rh2 0.375 0.470 0.750
Rh3 0.220 0.625 0.250
Rh4 0.875 0.780 0.750
Os1 0.750 0.250 0.500
Os2 0.000 0.000 0.000

---

13.
Entry from Alexandria via LeMat-Bulk: an optimized crystal structure of OsRh3C (PBE).

Output
Energy of formation: 618 meV per atom
Total DFT energy (no corrections): -39.420 eV/cell
Density of states at the Fermi level: 7.8 states/eV/cell
Excess energy over the best structure of this formula in the dataset: 0.0 meV/atom
Total magnetization: 0.0 μB/f.u.
Space-group type: No. 221

Unit cell a=4.046 b=4.046 c=4.046 alpha=90.00 beta=90.00 gamma=90.00
Element x y z (fractional)
Rh1 0.000 0.500 0.000
Rh2 0.000 0.000 0.500
Rh3 0.500 0.000 0.000
Os1 0.500 0.500 0.500
C1 0.000 0.000 0.000